! PBE K2Rb6HAu3, optimized geometry; values from VASP
&SYSTEM
  ibrav = 0, nat = 12, ntyp = 4
/
ATOMIC_SPECIES
K 39.10 K.upf
Rb 85.47 Rb.upf
H 1.01 H.upf
Au 196.97 Au.upf
CELL_PARAMETERS angstrom
-4.806 -3.599 -5.334
-5.583 -2.799 6.919
-1.514 8.463 -4.076
ATOMIC_POSITIONS crystal
K 0.236 0.672 0.343
K 0.764 0.328 0.657
Rb 0.729 0.318 0.153
Rb 0.271 0.682 0.847
Rb 0.729 0.852 0.704
Rb 0.271 0.148 0.296
Rb 0.271 0.165 0.847
Rb 0.729 0.835 0.153
H 0.500 0.000 0.000
Au 0.000 0.500 0.000
Au 0.500 0.500 0.500
Au 0.500 0.000 0.500
! total energy: -1.898 eV per atom
! mass density: 3.16 Mg/m³
! size of the total moment: 0.04 μB/atom
! symmetry: C2/m